Record 1
# InCuPd

A relaxed InCuPd crystal (GGA-PBE, Alexandria).

Properties
M_tot: 0.000 μB/f.u.
space-group type: No. 12
energy: -4.25 eV/atom
crystal system: monoclinic
energy relative to the lowest polymorph listed for this composition: 8 meV/atom
formation enthalpy at 0 K: -0.236 eV per atom

a b c (Å): 3.8935 3.8935 6.6972
angles (deg): 84.94 95.06 90.25
Atoms (fractional coordinates):
Cu  0.2524  0.2524  0.0000
Pd  0.7993  0.2007  0.3012
Pd  0.2007  0.7993  0.6988
Cu  0.7476  0.7476  0.0000
In  0.2967  0.7033  0.2993
In  0.7033  0.2967  0.7007

Record 2
# CdIn2Br

A relaxed CdIn2Br crystal (GGA-PBE, Alexandria).

Properties
M_tot: 0.000 μB/f.u.
space-group type: No. 119
energy: -2.17 eV/atom
crystal system: tetragonal
energy relative to the lowest polymorph listed for this composition: 62 meV/atom
ΔE_f (raw): -0.15 eV/atom

a b c (Å): 6.4932 6.4932 6.4932
angles (deg): 138.75 138.75 59.76
Atoms (fractional coordinates):
In  0.0000  0.0000  0.0000
In  0.2500  0.7500  0.5000
Br  0.5000  0.5000  0.0000
Cd  0.7500  0.2500  0.5000

Record 3
# Pa3ZnGa4

A relaxed Pa3ZnGa4 crystal (GGA-PBE, Alexandria).

Properties
M_tot: 0.000 μB/f.u.
space-group type: No. 71
energy: -5.40 eV/atom
crystal system: orthorhombic
formation enthalpy at 0 K: -0.164 eV per atom

a b c (Å): 3.0567 5.6890 10.1093
angles (deg): 106.34 98.70 90.00
Atoms (fractional coordinates):
Ga  0.6176  0.8739  0.2351
Pa  0.0000  0.5000  0.0000
Ga  0.3824  0.6388  0.7649
Pa  0.7592  0.7592  0.5184
Pa  0.2408  0.2408  0.4816
Ga  0.3824  0.1261  0.7649
Ga  0.6176  0.3612  0.2351
Zn  0.5000  0.0000  0.0000

Record 4
# LaSm3Mg2

A relaxed LaSm3Mg2 crystal (GGA-PBE, Alexandria).

Properties
M_tot: 0.000 μB/f.u.
space-group type: No. 123
energy: -3.77 eV/atom
crystal system: tetragonal
formation enthalpy at 0 K: -0.056 eV per atom

a b c (Å): 3.7911 3.7911 12.9291
angles (deg): 90.00 90.00 90.00
Atoms (fractional coordinates):
Sm  0.0000  0.0000  0.3032
La  0.5000  0.5000  0.5000
Sm  0.0000  0.0000  0.0000
Sm  0.0000  0.0000  0.6968
Mg  0.5000  0.5000  0.1511
Mg  0.5000  0.5000  0.8489

Record 5
# Hg2PPd2

A relaxed Hg2PPd2 crystal (GGA-PBE, Alexandria).

Properties
M_tot: 0.000 μB/f.u.
space-group type: No. 127
energy: -3.30 eV/atom
crystal system: tetragonal
formation enthalpy at 0 K: -0.024 eV per atom

a b c (Å): 6.4203 6.4203 4.5311
angles (deg): 90.00 90.00 90.00
Atoms (fractional coordinates):
Pd  0.6663  0.1663  0.0000
Pd  0.8337  0.6663  0.0000
Hg  0.3438  0.1562  0.5000
Pd  0.1663  0.3337  0.0000
Hg  0.8438  0.3438  0.5000
P  0.5000  0.5000  0.0000
Hg  0.6562  0.8438  0.5000
Hg  0.1562  0.6562  0.5000
Pd  0.3337  0.8337  0.0000
P  0.0000  0.0000  0.0000

Record 6
# CsTl2AsRh

A relaxed CsTl2AsRh crystal (GGA-PBE, Alexandria).

Properties
M_tot: 0.000 μB/f.u.
space-group type: No. 123
energy: -3.54 eV/atom
crystal system: tetragonal
formation enthalpy at 0 K: -0.023 eV per atom

a b c (Å): 5.5125 5.5125 4.9707
angles (deg): 90.00 90.00 90.00
Atoms (fractional coordinates):
Tl  0.0000  0.5000  0.0000
Rh  0.0000  0.0000  0.0000
As  0.0000  0.0000  0.5000
Cs  0.5000  0.5000  0.5000
Tl  0.5000  0.0000  0.0000

Record 7
# AsPt3Rh

A relaxed AsPt3Rh crystal (GGA-PBE, Alexandria).

Properties
M_tot: 1.921 μB/f.u.
space-group type: No. 221
energy: -4.65 eV/atom
crystal system: cubic
energy relative to the lowest polymorph listed for this composition: 584 meV/atom
formation enthalpy at 0 K: 1.374 eV per atom

a b c (Å): 4.8009 4.8009 4.8009
angles (deg): 90.00 90.00 90.00
Atoms (fractional coordinates):
Pt  0.5000  0.0000  0.0000
As  0.5000  0.5000  0.5000
Pt  0.0000  0.0000  0.5000
Pt  0.0000  0.5000  0.0000
Rh  0.0000  0.0000  0.0000

Record 8
# KSiTc

A relaxed KSiTc crystal (GGA-PBE, Alexandria).

Properties
M_tot: 0.363 μB/f.u.
space-group type: No. 187
energy: -4.63 eV/atom
crystal system: hexagonal
energy relative to the lowest polymorph listed for this composition: 771 meV/atom
ΔE_f (raw): 1.00 eV/atom

a b c (Å): 4.9532 4.9532 2.6576
angles (deg): 90.00 90.00 120.00
Atoms (fractional coordinates):
Tc  0.3333  0.6667  0.4996
K  0.0000  0.0000  0.9997
Si  0.6667  0.3333  0.5007

Record 9
# InFeI3

A relaxed InFeI3 crystal (GGA-PBE, Alexandria).

Properties
M_tot: 4.000 μB/f.u.
space-group type: No. 221
energy: -3.25 eV/atom
crystal system: cubic
ΔE_f (raw): -0.08 eV/atom

a b c (Å): 5.6018 5.6018 5.6018
angles (deg): 90.00 90.00 90.00
Atoms (fractional coordinates):
In  0.5000  0.5000  0.5000
I  0.0000  0.5000  0.0000
Fe  0.0000  0.0000  0.0000
I  0.5000  0.0000  0.0000
I  0.0000  0.0000  0.5000

Record 10
# TcMo2RuN

A relaxed TcMo2RuN crystal (GGA-PBE, Alexandria).

Properties
M_tot: 0.000 μB/f.u.
space-group type: No. 123
energy: -9.97 eV/atom
crystal system: tetragonal
energy relative to the lowest polymorph listed for this composition: 0 meV/atom
ΔE_f (raw): -0.05 eV/atom

a b c (Å): 4.0980 4.0980 4.0142
angles (deg): 90.00 90.00 90.00
Atoms (fractional coordinates):
Mo  0.0000  0.5000  0.0000
Ru  0.5000  0.5000  0.5000
Tc  0.0000  0.0000  0.5000
Mo  0.5000  0.0000  0.0000
N  0.0000  0.0000  0.0000

Record 11
# K4BiAu

A relaxed K4BiAu crystal (GGA-PBE, Alexandria).

Properties
M_tot: 0.000 μB/f.u.
space-group type: No. 15
energy: -2.26 eV/atom
crystal system: monoclinic
formation enthalpy at 0 K: -0.331 eV per atom

a b c (Å): 6.6961 9.9957 9.3827
angles (deg): 114.88 100.93 108.29
Atoms (fractional coordinates):
K  0.7719  0.7032  0.6526
Au  0.2478  0.9978  0.9956
K  0.3807  0.9494  0.6526
Bi  0.6105  0.3605  0.7211
K  0.7143  0.3769  0.1344
K  0.2281  0.2968  0.3474
K  0.9201  0.7576  0.1344
K  0.2857  0.6231  0.8656
Au  0.7522  0.0022  0.0044
K  0.0799  0.2424  0.8656
K  0.6193  0.0506  0.3474
Bi  0.3895  0.6395  0.2789

Record 12
# LaMg3Mo

A relaxed LaMg3Mo crystal (GGA-PBE, Alexandria).

Properties
M_tot: 1.188 μB/f.u.
space-group type: No. 221
energy: -3.52 eV/atom
crystal system: cubic
energy relative to the lowest polymorph listed for this composition: 0 meV/atom
formation enthalpy at 0 K: 0.591 eV per atom

a b c (Å): 5.1606 5.1606 5.1606
angles (deg): 90.00 90.00 90.00
Atoms (fractional coordinates):
Mg  0.0000  0.0000  0.5000
Mg  0.5000  0.0000  0.0000
La  0.5000  0.5000  0.5000
Mo  0.0000  0.0000  0.0000
Mg  0.0000  0.5000  0.0000

Record 13
# Tb3InAu

A relaxed Tb3InAu crystal (GGA-PBE, Alexandria).

Properties
M_tot: 0.000 μB/f.u.
space-group type: No. 15
energy: -4.40 eV/atom
crystal system: monoclinic
formation enthalpy at 0 K: -0.418 eV per atom

a b c (Å): 8.1037 8.1037 11.1563
angles (deg): 87.83 87.83 50.01
Atoms (fractional coordinates):
Tb  0.5843  0.6509  0.1640
In  0.6073  0.1344  0.5790
Tb  0.2584  0.8493  0.9180
Tb  0.8493  0.2584  0.4180
Tb  0.1536  0.2168  0.1695
Au  0.5000  0.0000  0.0000
Tb  0.7416  0.1507  0.0820
Tb  0.1507  0.7416  0.5820
Tb  0.4157  0.3491  0.8360
In  0.3927  0.8656  0.4210
In  0.8656  0.3927  0.9210
Tb  0.3491  0.4157  0.3360
Tb  0.7832  0.8464  0.3305
Au  0.1129  0.8871  0.2500
Tb  0.2168  0.1536  0.6695
Au  0.8871  0.1129  0.7500
Tb  0.6509  0.5843  0.6640
Tb  0.8464  0.7832  0.8305
Au  0.0000  0.5000  0.5000
In  0.1344  0.6073  0.0790

Record 14
# Ta4AsPb

A relaxed Ta4AsPb crystal (GGA-PBE, Alexandria).

Properties
M_tot: 0.000 μB/f.u.
space-group type: No. 216
energy: -8.75 eV/atom
crystal system: cubic
formation enthalpy at 0 K: 0.549 eV per atom

a b c (Å): 5.5813 5.5813 5.5813
angles (deg): 60.00 60.00 60.00
Atoms (fractional coordinates):
As  0.7500  0.7500  0.7500
Ta  0.3746  0.3746  0.8763
Ta  0.8763  0.3746  0.3746
Ta  0.3746  0.8763  0.3746
Pb  0.0000  0.0000  0.0000
Ta  0.3746  0.3746  0.3746

Record 15
# FeSn2Hg

A relaxed FeSn2Hg crystal (GGA-PBE, Alexandria).

Properties
M_tot: 2.628 μB/f.u.
space-group type: No. 122
energy: -3.77 eV/atom
crystal system: tetragonal
formation enthalpy at 0 K: 0.425 eV per atom

a b c (Å): 4.5846 4.5846 9.5323
angles (deg): 76.09 76.09 90.00
Atoms (fractional coordinates):
Sn  0.5839  0.1250  0.2500
Hg  0.7500  0.2500  0.5000
Sn  0.8750  0.8339  0.7500
Sn  0.3750  0.4161  0.7500
Sn  0.1661  0.6250  0.2500
Hg  0.0000  0.0000  0.0000
Fe  0.2500  0.7500  0.5000
Fe  0.5000  0.5000  0.0000

Record 16
# SrFeOs

A relaxed SrFeOs crystal (GGA-PBE, Alexandria).

Properties
M_tot: 0.000 μB/f.u.
space-group type: No. 11
energy: -6.75 eV/atom
crystal system: monoclinic
energy relative to the lowest polymorph listed for this composition: 89 meV/atom
formation enthalpy at 0 K: 0.372 eV per atom

a b c (Å): 6.9548 4.5502 4.2317
angles (deg): 90.01 90.00 87.89
Atoms (fractional coordinates):
Os  0.1288  0.5792  0.3534
Sr  0.8971  0.1551  0.8536
Sr  0.5815  0.6613  0.3536
Fe  0.2424  0.0860  0.3536
Os  0.3498  0.2373  0.8537
Fe  0.2362  0.7306  0.8534

Record 17
# PmSmPt

A relaxed PmSmPt crystal (GGA-PBE, Alexandria).

Properties
M_tot: 0.000 μB/f.u.
space-group type: No. 189
energy: -5.95 eV/atom
crystal system: hexagonal
energy relative to the lowest polymorph listed for this composition: 39 meV/atom
formation enthalpy at 0 K: -0.778 eV per atom

a b c (Å): 7.5999 7.5999 9.6565
angles (deg): 90.00 90.00 120.00
Atoms (fractional coordinates):
Sm  0.9998  0.5930  0.2500
Pt  0.6667  0.3333  0.0005
Pt  0.6667  0.3333  0.4995
Pm  0.2626  0.0000  0.5000
Pm  0.7374  0.7374  0.0000
Sm  0.4068  0.4070  0.7500
Pm  0.0000  0.2626  0.0000
Pm  0.2626  0.0000  0.0000
Sm  0.5930  0.9998  0.7500
Pt  0.3333  0.6667  0.9995
Pm  0.7374  0.7374  0.5000
Sm  0.4070  0.4068  0.2500
Pm  0.0000  0.2626  0.5000
Sm  0.0002  0.5932  0.7500
Sm  0.5932  0.0002  0.2500
Pt  0.3333  0.6667  0.5005
Pt  0.0000  0.0000  0.2500
Pt  0.0000  0.0000  0.7500

Record 18
# AlCuNi4

A relaxed AlCuNi4 crystal (GGA-PBE, Alexandria).

Properties
M_tot: 0.768 μB/f.u.
space-group type: No. 63
energy: -5.26 eV/atom
crystal system: orthorhombic
energy relative to the lowest polymorph listed for this composition: 135 meV/atom
formation enthalpy at 0 K: -0.097 eV per atom

a b c (Å): 8.5893 8.5893 5.0157
angles (deg): 90.00 90.00 156.80
Atoms (fractional coordinates):
Cu  0.7266  0.2735  0.7500
Ni  0.8496  0.1504  0.0019
Ni  0.4241  0.5759  0.2500
Ni  0.5759  0.4241  0.7500
Al  0.5775  0.4225  0.2500
Ni  0.1504  0.8496  0.9981
Ni  0.0000  0.0000  0.5000
Cu  0.2735  0.7266  0.2500
Ni  0.8496  0.1504  0.4981
Al  0.4225  0.5775  0.7500
Ni  0.0000  0.0000  0.0000
Ni  0.1504  0.8496  0.5019

Record 19
# Na3Si2Au4

A relaxed Na3Si2Au4 crystal (GGA-PBE, Alexandria).

Properties
M_tot: 0.000 μB/f.u.
space-group type: No. 12
energy: -3.34 eV/atom
crystal system: monoclinic
ΔE_f (raw): -0.24 eV/atom

a b c (Å): 4.4167 5.7918 8.5503
angles (deg): 106.54 90.00 112.41
Atoms (fractional coordinates):
Na  0.0000  0.0000  0.0000
Au  0.8915  0.7830  0.5737
Na  0.6207  0.2415  0.6980
Si  0.3279  0.6559  0.6574
Au  0.1085  0.2170  0.4263
Au  0.7243  0.4486  0.0886
Na  0.3793  0.7585  0.3020
Au  0.2757  0.5514  0.9114
Si  0.6721  0.3441  0.3426

Record 20
# Ce6C3S2Br

A relaxed Ce6C3S2Br crystal (GGA-PBE, Alexandria).

Properties
M_tot: 2.069 μB/f.u.
space-group type: No. 12
energy: -7.11 eV/atom
crystal system: monoclinic
ΔE_f (raw): -1.01 eV/atom

a b c (Å): 3.8044 7.9609 8.8214
angles (deg): 106.46 102.45 90.00
Atoms (fractional coordinates):
Br  0.5000  0.0000  0.0000
S  0.1651  0.3301  0.3303
S  0.8349  0.6699  0.6697
Ce  0.9903  0.2830  0.9806
C  0.5000  0.5000  0.0000
Ce  0.0097  0.7170  0.0194
Ce  0.3210  0.9350  0.6421
C  0.8321  0.1680  0.6643
C  0.1679  0.8320  0.3357
Ce  0.6607  0.6000  0.3215
Ce  0.3393  0.4000  0.6785
Ce  0.6790  0.0650  0.3579